FeSi3F | GGA+U | relaxed

```
5
Lattice="4.2663 0.0000 0.0000 0.0000 4.2663 0.0000 0.0000 0.0000 4.2663" Properties=species:S:1:pos:R:3 pbc="T T T"
Si 0.0000 0.0000 2.1332
Si 0.0000 2.1332 0.0000
Si 2.1332 0.0000 0.0000
Fe 0.0000 0.0000 0.0000
F 2.1332 2.1332 2.1332
```

Values from the calculation:
DOS at the Fermi energy (states/eV/cell): 1.07
Energy above the most stable polymorph in this dataset (eV/atom): 0.0000
SG: Pm-3m, No. 221
Calculated volume (Å³/f.u.): 77.7